(1)
Density functional theory data (PBE-GGA) for crystalline KSrNp4N8 at its relaxed geometry.

uncorrected energy	-9.543	eV per atom
DOS at the Fermi energy	1.478	states/eV/atom
uncorrected formation energy	-12.46	eV/f.u.

Cell: 6.9342 6.9342 18.9241 Å, 90.00 90.00 120.00°
Space group R3m (No. 160, hexagonal axes)
Asymmetric unit:
K 0.0000 0.0000 0.0000
Sr 0.0000 0.0000 0.6485
Np 0.0000 0.0000 0.1713
Np 0.0015 0.5008 0.1518
N 0.0000 0.0000 0.4380
N 0.0000 0.0000 0.8648
N 0.0000 0.5000 0.4375
N 0.1790 0.3580 0.2107

***

(2)
Density functional theory data (PBE-GGA) for crystalline KSrNpN3 at its relaxed geometry.

uncorrected energy	-7.393	eV per atom
DOS at the Fermi energy	0.604	states/eV/atom
uncorrected formation energy	-3.66	eV/f.u.

Cell: 6.3808 12.7582 5.9378 Å, 90.00 101.81 90.00°
Space group C2/c (No. 15)
Asymmetric unit:
K 0.0000 0.0694 0.2500
Sr 0.0000 0.2761 0.7500
Np 0.0000 0.4334 0.2500
N 0.0000 0.2799 0.2500
N 0.1642 0.4438 0.9744

***

(3)
Density functional theory data (PBE-GGA) for crystalline K2NpTa3N8 at its relaxed geometry.

uncorrected energy	-9.158	eV per atom
uncorrected formation energy	-10.92	eV/f.u.

Cell: 6.3981 6.3981 20.2779 Å, 90.00 90.00 120.00°
Space group R3m (No. 160, hexagonal axes)
Asymmetric unit:
K 0.0000 0.0000 0.0000
K 0.0000 0.0000 0.3431
Np 0.0000 0.0000 0.5112
Ta 0.0011 0.5005 0.5006
N 0.0000 0.0000 0.2164
N 0.0000 0.0000 0.7849
N 0.1713 0.3425 0.5555
N 0.1720 0.3441 0.1201

***

(4)
Density functional theory data (PBE-GGA) for crystalline KNpTcN4 at its relaxed geometry.

uncorrected energy	-8.604	eV per atom
DOS at the Fermi energy	0.959	states/eV/atom
uncorrected formation energy	-2.52	eV/f.u.

Cell: 5.9615 5.8800 7.6462 Å, 90.00 106.38 90.00°
Space group P2_1/m (No. 11)
Asymmetric unit:
K 0.1997 0.2500 0.4276
Np 0.2937 0.2500 0.9503
Tc 0.2408 0.7500 0.1553
N 0.0228 0.7500 0.9382
N 0.0324 0.7500 0.2914
N 0.4518 0.5124 0.1675

***

(5)
Density functional theory data (PBE-GGA) for crystalline K2ThNpN4 at its relaxed geometry.

uncorrected energy	-7.884	eV per atom
DOS at the Fermi energy	0.212	states/eV/atom
uncorrected formation energy	-7.22	eV/f.u.

Cell: 6.2317 3.6334 6.7661 Å, 90.00 108.04 90.00°
Space group P2/m (No. 10)
Asymmetric unit:
K 0.0000 0.0000 0.0000
K 0.5000 0.5000 0.0000
Th 0.0000 0.5000 0.5000
Np 0.5000 0.0000 0.5000
N 0.2574 0.0000 0.6602
N 0.2978 0.5000 0.3380

***

(6)
Density functional theory data (PBE-GGA) for crystalline K2NpUN4 at its relaxed geometry.

uncorrected energy	-8.360	eV per atom
DOS at the Fermi energy	1.319	states/eV/atom
uncorrected formation energy	-7.16	eV/f.u.

Cell: 6.1241 3.5339 6.7184 Å, 90.00 107.80 90.00°
Space group P2/m (No. 10)
Asymmetric unit:
K 0.0000 0.0000 0.0000
K 0.5000 0.5000 0.0000
Np 0.0000 0.5000 0.5000
U 0.5000 0.0000 0.5000
N 0.2246 0.0000 0.6568
N 0.2885 0.5000 0.3408

***

(7)
Density functional theory data (PBE-GGA) for crystalline K4Np3VN8 at its relaxed geometry.

uncorrected energy	-8.108	eV per atom
DOS at the Fermi energy	1.050	states/eV/atom
uncorrected formation energy	-10.80	eV/f.u.

Cell: 6.7794 6.7794 19.0982 Å, 90.00 90.00 120.00°
Space group R-3m (No. 166, hexagonal axes)
Asymmetric unit:
K 0.0000 0.0000 0.0000
K 0.0000 0.5000 0.0000
Np 0.0000 0.5000 0.5000
V 0.0000 0.0000 0.5000
N 0.0000 0.0000 0.2215
N 0.0023 0.5011 0.2202

***

(8)
Density functional theory data (PBE-GGA) for crystalline KNpWN4 at its relaxed geometry.

uncorrected energy	-9.146	eV per atom
DOS at the Fermi energy	0.873	states/eV/atom
uncorrected formation energy	-3.73	eV/f.u.

Cell: 5.9491 5.8893 8.1050 Å, 90.00 107.33 90.00°
Space group P2_1/m (No. 11)
Asymmetric unit:
K 0.1366 0.2500 0.1380
Np 0.2910 0.7500 0.4606
W 0.2531 0.2500 0.6612
N 0.0122 0.2500 0.7719
N 0.0310 0.2500 0.4483
N 0.4642 0.0083 0.6596